(1)
TlV2TeO8 (GGA+U, optimized geometry); spin magnetization = 0.000 μB/atom; D(E_F) = 4.4 states/eV per cell; raw total energy = -6.45 eV per atom
1.0
4.514 -2.894 0.000
4.514 2.894 0.000
-0.391 0.000 8.174
Tl V Te O
1 2 1 8
Cartesian
0.000 0.000 0.000
3.040 0.000 5.725
5.597 0.000 2.449
-0.196 0.000 4.087
4.040 1.489 5.535
1.794 0.000 4.469
4.597 1.489 2.639
2.407 0.000 7.246
6.230 0.000 0.927
4.040 -1.489 5.535
6.844 0.000 3.704
4.597 -1.489 2.639

(2)
TlTe2WO8 (GGA+U, optimized geometry); spin magnetization = 0.250 μB/atom; raw total energy = -5.49 eV per atom
1.0
5.855 -2.801 0.000
5.855 2.801 0.000
-3.263 0.000 6.805
Tl Te W O
1 2 1 8
Cartesian
0.000 0.000 0.000
0.287 0.000 4.480
8.159 0.000 2.325
4.223 0.000 3.402
3.589 1.432 2.081
0.964 0.000 2.769
4.857 1.432 4.723
1.484 0.000 5.846
6.963 0.000 0.959
3.589 -1.432 2.081
7.483 0.000 4.036
4.857 -1.432 4.723